<one>
# Ag2SbBr, relaxed, DFT PBE
# DOS(E_F)	0.507	states/eV/atom
data_Ag2SbBr
_cell_length_a 4.5635
_cell_length_b 4.5635
_cell_length_c 8.9623
_cell_angle_alpha 90.00
_cell_angle_beta 90.00
_cell_angle_gamma 90.00
_space_group_name_H-M_alt 'I 4/m m m'
_space_group_IT_number 139
_space_group_name_Hall '-I 4 2'
loop_
_atom_site_label
_atom_site_fract_x
_atom_site_fract_y
_atom_site_fract_z
Ag1 0.0000 0.5000 0.2500
Sb1 0.0000 0.0000 0.0000
Br1 0.0000 0.0000 0.5000

<two>
# Ag2SbBr, relaxed, DFT PBE
# DOS(E_F)	0.779	states/eV/atom
data_Ag2SbBr
_cell_length_a 7.2487
_cell_length_b 7.2487
_cell_length_c 7.2487
_cell_angle_alpha 90.00
_cell_angle_beta 90.00
_cell_angle_gamma 90.00
_space_group_name_H-M_alt 'F m -3 m'
_space_group_IT_number 225
_space_group_name_Hall '-F 4 2 3'
loop_
_atom_site_label
_atom_site_fract_x
_atom_site_fract_y
_atom_site_fract_z
Ag1 0.2500 0.2500 0.2500
Sb1 0.0000 0.0000 0.0000
Br1 0.0000 0.0000 0.5000

So which one wins? Going from most stable to least: <one>, <two>.

<one>
A relaxed structure of AgSbBr. Source: the Alexandria database, functional PBE.

```
data_AgSbBr
_cell_length_a 4.1104
_cell_length_b 7.0516
_cell_length_c 7.4745
_cell_angle_alpha 73.57
_cell_angle_beta 74.09
_cell_angle_gamma 89.96
_space_group_name_H-M_alt 'P 1'
_space_group_IT_number 1
loop_
_space_group_symop_operation_xyz
'x,y,z'
loop_
_atom_site_label
_atom_site_fract_x
_atom_site_fract_y
_atom_site_fract_z
Ag1 0.0000 0.0000 0.0000
Ag2 0.3600 0.3474 0.3057
Sb1 0.2214 0.6152 0.5647
Sb2 0.8628 0.6479 0.2795
Br1 0.1811 0.0010 0.6043
Br2 0.5168 0.2647 0.9653
```

<two>
# AgSbBr, relaxed, DFT PBE
# DOS(E_F)	0.415	states/eV/atom
data_AgSbBr
_cell_length_a 3.4983
_cell_length_b 3.4983
_cell_length_c 12.1488
_cell_angle_alpha 90.00
_cell_angle_beta 90.00
_cell_angle_gamma 90.00
_space_group_name_H-M_alt 'I 4 m m'
_space_group_IT_number 107
_space_group_name_Hall 'I 4 -2'
loop_
_atom_site_label
_atom_site_fract_x
_atom_site_fract_y
_atom_site_fract_z
Ag1 0.0000 0.0000 0.0000
Sb1 0.0000 0.0000 0.3610
Br1 0.0000 0.0000 0.6528

<three>
# AgSbBr, relaxed, DFT PBE
# DOS(E_F)	0.642	states/eV/atom
data_AgSbBr
_cell_length_a 3.7731
_cell_length_b 3.7731
_cell_length_c 6.3536
_cell_angle_alpha 90.00
_cell_angle_beta 90.00
_cell_angle_gamma 120.00
_space_group_name_H-M_alt 'P 3 m 1'
_space_group_IT_number 156
loop_
_space_group_symop_operation_xyz
'x,y,z'
'-y,x-y,z'
'-x+y,-x,z'
'-y,-x,z'
'-x+y,y,z'
'x,x-y,z'
loop_
_atom_site_label
_atom_site_fract_x
_atom_site_fract_y
_atom_site_fract_z
Ag1 0.0000 0.0000 0.0000
Sb1 0.3333 0.6667 0.7064
Br1 0.6667 0.3333 0.2840

<four>
# AgSbBr, relaxed, DFT PBE
# DOS(E_F)	0.980	states/eV/atom
data_AgSbBr
_cell_length_a 7.1095
_cell_length_b 7.1095
_cell_length_c 7.1095
_cell_angle_alpha 90.00
_cell_angle_beta 90.00
_cell_angle_gamma 90.00
_space_group_name_H-M_alt 'F -4 3 m'
_space_group_IT_number 216
_space_group_name_Hall 'F -4 2 3'
loop_
_atom_site_label
_atom_site_fract_x
_atom_site_fract_y
_atom_site_fract_z
Ag1 0.0000 0.0000 0.0000
Sb1 0.2500 0.2500 0.7500
Br1 0.0000 0.0000 0.5000

So which one wins? Going from most stable to least: <one>, <three>, <two>, <four>.

<one>
# AgSbBr, relaxed, DFT PBE
# DOS(E_F)	0.427	states/eV/atom
data_AgSbBr
_cell_length_a 3.9517
_cell_length_b 5.8707
_cell_length_c 13.4973
_cell_angle_alpha 90.00
_cell_angle_beta 90.00
_cell_angle_gamma 90.00
_space_group_name_H-M_alt 'F m m 2'
_space_group_IT_number 42
_space_group_name_Hall 'F 2 -2'
loop_
_atom_site_label
_atom_site_fract_x
_atom_site_fract_y
_atom_site_fract_z
Ag1 0.0000 0.0000 0.0000
Sb1 0.0000 0.0000 0.3510
Br1 0.0000 0.0000 0.6358

<two>
# AgSbBr, relaxed, DFT PBE
# DOS(E_F)	0.239	states/eV/atom
data_AgSbBr
_cell_length_a 3.5948
_cell_length_b 4.4837
_cell_length_c 11.7600
_cell_angle_alpha 90.00
_cell_angle_beta 90.00
_cell_angle_gamma 90.00
_space_group_name_H-M_alt 'I m m 2'
_space_group_IT_number 44
loop_
_space_group_symop_operation_xyz
'x,y,z'
'-x,-y,z'
'-x,y,z'
'x,-y,z'
'x+1/2,y+1/2,z+1/2'
'-x+1/2,-y+1/2,z+1/2'
'-x+1/2,y+1/2,z+1/2'
'x+1/2,-y+1/2,z+1/2'
loop_
_atom_site_label
_atom_site_fract_x
_atom_site_fract_y
_atom_site_fract_z
Ag1 0.0000 0.0000 0.0000
Sb1 0.0000 0.0000 0.4769
Br1 0.0000 0.0000 0.2553

<three>
# AgSbBr, relaxed, DFT PBE
# DOS(E_F)	0.285	states/eV/atom
data_AgSbBr
_cell_length_a 3.4703
_cell_length_b 4.2167
_cell_length_c 12.6844
_cell_angle_alpha 90.00
_cell_angle_beta 90.50
_cell_angle_gamma 90.00
_space_group_name_H-M_alt 'P 1 21/m 1'
_space_group_IT_number 11
loop_
_space_group_symop_operation_xyz
'x,y,z'
'-x,-y,-z'
'-x,y+1/2,-z'
'x,-y+1/2,z'
loop_
_atom_site_label
_atom_site_fract_x
_atom_site_fract_y
_atom_site_fract_z
Ag1 0.0031 0.2500 0.3017
Sb1 0.0036 0.2500 0.0767
Br1 0.4946 0.2500 0.6492

So which one wins? Going from most stable to least: <three>, <two>, <one>.

<one>
# Ag2SbBr8, relaxed, DFT PBE
# DOS(E_F)	1.183	states/eV/atom
data_Ag2SbBr8
_cell_length_a 7.7859
_cell_length_b 7.7859
_cell_length_c 6.5594
_cell_angle_alpha 90.00
_cell_angle_beta 90.00
_cell_angle_gamma 120.00
_space_group_name_H-M_alt 'P -3 m 1'
_space_group_IT_number 164
_space_group_name_Hall '-P 3 2"'
loop_
_atom_site_label
_atom_site_fract_x
_atom_site_fract_y
_atom_site_fract_z
Ag1 0.3333 0.6667 0.0108
Sb1 0.0000 0.0000 0.0000
Br1 0.1597 0.3194 0.2378
Br2 0.3333 0.6667 0.6216

<two>
# Ag2SbBr8, relaxed, DFT PBE
# DOS(E_F)	1.008	states/eV/atom
data_Ag2SbBr8
_cell_length_a 16.0772
_cell_length_b 8.3752
_cell_length_c 8.4431
_cell_angle_alpha 90.00
_cell_angle_beta 109.23
_cell_angle_gamma 90.00
_space_group_name_H-M_alt 'C 1 2/m 1'
_space_group_IT_number 12
loop_
_space_group_symop_operation_xyz
'x,y,z'
'-x,-y,-z'
'-x,y,-z'
'x,-y,z'
'x+1/2,y+1/2,z'
'-x+1/2,-y+1/2,-z'
'-x+1/2,y+1/2,-z'
'x+1/2,-y+1/2,z'
loop_
_atom_site_label
_atom_site_fract_x
_atom_site_fract_y
_atom_site_fract_z
Ag1 0.1172 0.0000 0.4349
Sb1 0.0000 0.0000 0.0000
Br1 0.0565 0.0000 0.7232
Br2 0.1147 0.2215 0.1631
Br3 0.2235 0.5000 0.3832

So which one wins? Going from most stable to least: <two>, <one>.